1.
# CaFe2Sb

A geometry-optimized CaFe2Sb structure (PBE-GGA, the Alexandria database).

Summary:
- Total DFT energy (no corrections): -61.807 eV per cell
- DOS at the Fermi energy: 9.61 states/eV/cell

Cell lengths 3.276, 3.276, 25.404 Å; angles 90.00, 90.00, 120.00 degrees
Element x y z (fractional)
Ca: 0.000 0.000 0.000
Ca: 0.333 0.667 0.667
Ca: 0.667 0.333 0.333
Fe: 0.000 0.000 0.239
Fe: 0.000 0.000 0.761
Fe: 0.333 0.667 0.428
Fe: 0.333 0.667 0.906
Fe: 0.667 0.333 0.094
Fe: 0.667 0.333 0.572
Sb: 0.000 0.000 0.500
Sb: 0.333 0.667 0.167
Sb: 0.667 0.333 0.833

---

2.
# SiMoPt2

A geometry-optimized SiMoPt2 structure (PBE-GGA, the Alexandria database).

Summary:
- Total DFT energy (no corrections): -29.856 eV per cell
- DOS at the Fermi energy: 0.79 states/eV/cell

Cell lengths 2.945, 2.945, 6.897 Å; angles 90.00, 90.00, 90.00 degrees
Element x y z (fractional)
Si: 0.000 0.000 0.000
Mo: 0.500 0.500 0.243
Pt: 0.000 0.000 0.492
Pt: 0.500 0.500 0.806

---

3.
# Cs2K3O

A geometry-optimized Cs2K3O structure (PBE-GGA, the Alexandria database).

Summary:
- Total DFT energy (no corrections): -25.658 eV per cell
- DOS at the Fermi energy: 6.45 states/eV/cell

Cell lengths 10.885, 10.885, 7.648 Å; angles 90.00, 90.00, 71.38 degrees
Element x y z (fractional)
Cs: 0.023 0.302 0.250
Cs: 0.302 0.023 0.750
Cs: 0.698 0.977 0.250
Cs: 0.977 0.698 0.750
K: 0.251 0.749 0.250
K: 0.409 0.409 0.000
K: 0.409 0.409 0.500
K: 0.591 0.591 0.000
K: 0.591 0.591 0.500
K: 0.749 0.251 0.750
O: 0.444 0.556 0.250
O: 0.556 0.444 0.750

---

4.
# ZnCo2HRh

A geometry-optimized ZnCo2HRh structure (PBE-GGA, the Alexandria database).

Summary:
- Distance to the lowest polymorph of the same formula: 0 meV/atom
- Total DFT energy (no corrections): -26.343 eV per cell
- DOS at the Fermi energy: 6.27 states/eV/cell

Cell lengths 3.662, 3.662, 3.919 Å; angles 90.00, 90.00, 90.00 degrees
Element x y z (fractional)
Zn: 0.000 0.000 0.000
Co: 0.000 0.500 0.500
Co: 0.500 0.000 0.500
H: 0.500 0.500 0.500
Rh: 0.500 0.500 0.000

---

5.
# Pm2Nd6DyHo

A geometry-optimized Pm2Nd6DyHo structure (PBE-GGA, the Alexandria database).

Summary:
- Total DFT energy (no corrections): -92.293 eV per cell
- DOS at the Fermi energy: 28.92 states/eV/cell
- ΔH_f (0 K): 0.114 eV per atom

Cell lengths 8.991, 8.991, 9.804 Å; angles 94.22, 94.22, 118.12 degrees
Element x y z (fractional)
Pm: 0.197 0.297 0.043
Pm: 0.297 0.197 0.543
Pm: 0.703 0.803 0.457
Pm: 0.803 0.703 0.957
Nd: 0.014 0.571 0.189
Nd: 0.121 0.756 0.554
Nd: 0.244 0.879 0.946
Nd: 0.292 0.503 0.381
Nd: 0.429 0.986 0.311
Nd: 0.497 0.708 0.119
Nd: 0.503 0.292 0.881
Nd: 0.571 0.014 0.689
Nd: 0.708 0.497 0.619
Nd: 0.756 0.121 0.054
Nd: 0.879 0.244 0.446
Nd: 0.986 0.429 0.811
Dy: 0.022 0.978 0.250
Dy: 0.978 0.022 0.750
Ho: 0.409 0.591 0.750
Ho: 0.591 0.409 0.250

---

6.
# La5Cd3

A geometry-optimized La5Cd3 structure (PBE-GGA, the Alexandria database).

Summary:
- Distance to the lowest polymorph of the same formula: 41 meV/atom
- Total DFT energy (no corrections): -57.943 eV per cell
- DOS at the Fermi energy: 24.52 states/eV/cell
- ΔH_f (0 K): -0.199 eV per atom

Cell lengths 8.216, 11.027, 5.610 Å; angles 90.00, 90.00, 90.00 degrees
Element x y z (fractional)
La: 0.000 0.000 0.000
La: 0.218 0.500 0.500
La: 0.250 0.250 0.000
La: 0.250 0.750 0.000
La: 0.282 0.000 0.500
La: 0.500 0.500 0.000
La: 0.718 0.000 0.500
La: 0.750 0.250 0.000
La: 0.750 0.750 0.000
La: 0.782 0.500 0.500
Cd: 0.000 0.228 0.500
Cd: 0.000 0.500 0.000
Cd: 0.000 0.772 0.500
Cd: 0.500 0.000 0.000
Cd: 0.500 0.272 0.500
Cd: 0.500 0.728 0.500

---

Question: Which formula does entry 5 have?
Answer: Pm2Nd6DyHo